Entry 1:
CrGePd2: relaxed, PBE-GGA.

```
data_CrGePd2
_chemical_formula_sum 'Cr2 Ge2 Pd4'
_cell_length_a 9.2936
_cell_length_b 9.2936
_cell_length_c 9.2936
_cell_angle_alpha 156.15
_cell_angle_beta 156.15
_cell_angle_gamma 33.99
_space_group_name_H-M_alt 'P 1'
_space_group_IT_number 1
loop_
_space_group_symop_operation_xyz
'x,y,z'
loop_
_atom_site_label
_atom_site_type_symbol
_atom_site_fract_x
_atom_site_fract_y
_atom_site_fract_z
_atom_site_occupancy
Cr1 Cr 0.0000 0.0000 0.0000 1
Cr2 Cr 0.7500 0.2500 0.5000 1
Ge1 Ge 0.2500 0.7500 0.5000 1
Ge2 Ge 0.5000 0.5000 0.0000 1
Pd1 Pd 0.1299 0.6250 0.0049 1
Pd2 Pd 0.3750 0.3799 0.5049 1
Pd3 Pd 0.6201 0.1250 0.9951 1
Pd4 Pd 0.8750 0.8701 0.4951 1
```

## Properties
D(E_F) in states/eV/cell: 10.24
ΔH_f (0 K) in eV/atom: 0.094

Entry 2:
TiMn2TcTe: relaxed, PBE-GGA.

```
data_TiMn2TcTe
_chemical_formula_sum 'Ti1 Mn2 Tc1 Te1'
_cell_length_a 4.7909
_cell_length_b 4.7909
_cell_length_c 4.6182
_cell_angle_alpha 90.00
_cell_angle_beta 90.00
_cell_angle_gamma 90.00
_space_group_name_H-M_alt 'P 1'
_space_group_IT_number 1
loop_
_space_group_symop_operation_xyz
'x,y,z'
loop_
_atom_site_label
_atom_site_type_symbol
_atom_site_fract_x
_atom_site_fract_y
_atom_site_fract_z
_atom_site_occupancy
Ti1 Ti 0.0000 0.0000 0.0000 1
Mn1 Mn 0.0000 0.5000 0.5000 1
Mn2 Mn 0.5000 0.0000 0.5000 1
Tc1 Tc 0.0000 0.0000 0.5000 1
Te1 Te 0.5000 0.5000 0.0000 1
```

## Properties
D(E_F) in states/eV/cell: 5.71
Total DFT energy (no corrections) in eV/atom: -7.191

Entry 3:
Tb8DyEr5: relaxed, PBE-GGA.

```
data_Tb8DyEr5
_chemical_formula_sum 'Tb8 Dy1 Er5'
_cell_length_a 8.3930
_cell_length_b 8.3930
_cell_length_c 8.3930
_cell_angle_alpha 111.12
_cell_angle_beta 111.12
_cell_angle_gamma 106.22
_space_group_name_H-M_alt 'P 1'
_space_group_IT_number 1
loop_
_space_group_symop_operation_xyz
'x,y,z'
loop_
_atom_site_label
_atom_site_type_symbol
_atom_site_fract_x
_atom_site_fract_y
_atom_site_fract_z
_atom_site_occupancy
Tb1 Tb 0.0861 0.6714 0.7632 1
Tb2 Tb 0.1710 0.2767 0.7546 1
Tb3 Tb 0.3286 0.0918 0.4147 1
Tb4 Tb 0.5221 0.4164 0.2454 1
Tb5 Tb 0.5836 0.8290 0.1057 1
Tb6 Tb 0.6771 0.9139 0.5853 1
Tb7 Tb 0.7233 0.4779 0.8943 1
Tb8 Tb 0.9082 0.3229 0.2368 1
Dy1 Dy 0.0000 0.0000 0.0000 1
Er1 Er 0.2139 0.6161 0.1813 1
Er2 Er 0.3839 0.5652 0.5978 1
Er3 Er 0.4348 0.0325 0.8187 1
Er4 Er 0.7500 0.2500 0.5000 1
Er5 Er 0.9675 0.7861 0.4022 1
```

## Properties
D(E_F) in states/eV/cell: 21.07
ΔH_f (0 K) in eV/atom: 0.257

Result set for calculated volume: 131.1, 106.0, 454.0 Å³/cell, one per record in the order listed.